# LiTmAsO

Crystalline LiTmAsO at its relaxed geometry (GGA-PBE, the Open Quantum Materials Database).

The structure belongs to space group P4/nmm (No. 129, origin choice 2); the cell edges are 5.6317, 5.6317 and 4.5351 Å and the angles 90.00°, 90.00° and 90.00°. The inequivalent atoms are Li at (0.2500, 0.2500, 0.0041), Tm at (0.2500, 0.7500, 0.5000), As at (0.2500, 0.2500, 0.5041) and O at (0.2500, 0.7500, 0.0000).

The crystal system is tetragonal. The calculation puts the energy above the most stable polymorph in this dataset at 547 meV/atom.